# 1
Ho2Bi4S9 | Alexandria | GGA-PBE | optimized geometry; symmetry = P-3c1 (165); M_tot = 0.00 μB/cell; formation energy from raw total energies = -13.517 eV/f.u.
1.0
7.062 0.000 0.000
-3.531 6.116 0.000
0.000 0.000 18.771
Ho Bi S
4 8 18
direct
0.000 0.000 0.150 Ho
0.000 0.000 0.350 Ho
0.000 0.000 0.650 Ho
0.000 0.000 0.850 Ho
0.333 0.667 0.185 Bi
0.333 0.667 0.483 Bi
0.333 0.667 0.685 Bi
0.333 0.667 0.983 Bi
0.667 0.333 0.017 Bi
0.667 0.333 0.315 Bi
0.667 0.333 0.517 Bi
0.667 0.333 0.815 Bi
0.000 0.289 0.250 S
0.000 0.711 0.750 S
0.036 0.359 0.584 S
0.036 0.677 0.084 S
0.289 0.000 0.250 S
0.289 0.289 0.750 S
0.323 0.359 0.084 S
0.323 0.964 0.584 S
0.359 0.036 0.916 S
0.359 0.323 0.416 S
0.641 0.677 0.584 S
0.641 0.964 0.084 S
0.677 0.036 0.416 S
0.677 0.641 0.916 S
0.711 0.000 0.750 S
0.711 0.711 0.250 S
0.964 0.323 0.916 S
0.964 0.641 0.416 S


# 2
Ho3Bi2S8 | Alexandria | GGA-PBE | optimized geometry; symmetry = C2/m (12); M_tot = 0.00 μB/cell; formation energy from raw total energies = -15.579 eV/f.u.
1.0
6.897 -3.966 0.000
6.897 3.966 0.000
-2.228 0.000 6.411
Ho Bi S
3 2 8
direct
0.000 0.000 0.000 Ho
0.257 0.743 0.500 Ho
0.743 0.257 0.500 Ho
0.269 0.269 0.841 Bi
0.731 0.731 0.159 Bi
0.112 0.112 0.416 S
0.116 0.644 0.094 S
0.356 0.884 0.906 S
0.381 0.381 0.577 S
0.619 0.619 0.423 S
0.644 0.116 0.094 S
0.884 0.356 0.906 S
0.888 0.888 0.584 S


# 3
Ho2BiS4 | Alexandria | GGA-PBE | optimized geometry; symmetry = P-1 (2); M_tot = 0.00 μB/cell; formation energy from raw total energies = -9.919 eV/f.u.
1.0
8.164 0.000 0.000
4.074 7.086 0.000
4.069 2.372 6.689
Ho Bi S
4 2 8
direct
0.000 0.000 0.000 Ho
0.000 0.000 0.500 Ho
0.000 0.500 0.000 Ho
0.500 0.000 0.000 Ho
0.375 0.375 0.377 Bi
0.625 0.625 0.623 Bi
0.209 0.764 0.764 S
0.236 0.237 0.791 S
0.236 0.791 0.237 S
0.237 0.236 0.236 S
0.763 0.764 0.764 S
0.764 0.209 0.763 S
0.764 0.763 0.209 S
0.791 0.236 0.236 S


# 4
HoBiS | Alexandria | GGA-PBE | optimized geometry; symmetry = Pmmn (59); M_tot = 0.00 μB/cell; formation energy from raw total energies = -3.782 eV/f.u.
1.0
4.498 0.000 0.000
0.000 4.912 0.000
0.000 0.000 7.864
Ho Bi S
2 2 2
direct
0.250 0.250 0.164 Ho
0.750 0.750 0.836 Ho
0.250 0.750 0.501 Bi
0.750 0.250 0.499 Bi
0.250 0.750 0.024 S
0.750 0.250 0.976 S


# 5
Ho6BiSe2S3 | Alexandria | GGA-PBE | optimized geometry; symmetry = C2/m (12); M_tot = 0.00 μB/cell; formation energy from raw total energies = -20.117 eV/f.u.
1.0
8.860 -2.002 0.000
8.860 2.002 0.000
-2.054 0.000 7.916
Ho Bi Se S
6 1 2 3
direct
0.005 0.005 0.223 Ho
0.324 0.324 0.434 Ho
0.339 0.339 0.905 Ho
0.661 0.661 0.095 Ho
0.676 0.676 0.566 Ho
0.995 0.995 0.777 Ho
0.500 0.500 0.500 Bi
0.169 0.169 0.833 Se
0.831 0.831 0.167 Se
0.165 0.165 0.327 S
0.500 0.500 0.000 S
0.835 0.835 0.673 S


# 6
Ho6BiSe3S2 | Alexandria | GGA-PBE | optimized geometry; symmetry = C2/m (12); M_tot = 0.00 μB/cell; formation energy from raw total energies = -19.405 eV/f.u.
1.0
8.887 -2.033 0.000
8.887 2.033 0.000
-1.935 0.000 7.958
Ho Bi Se S
6 1 3 2
direct
0.012 0.012 0.274 Ho
0.325 0.325 0.886 Ho
0.328 0.328 0.427 Ho
0.672 0.672 0.573 Ho
0.675 0.675 0.114 Ho
0.988 0.988 0.726 Ho
0.500 0.500 0.000 Bi
0.161 0.161 0.835 Se
0.500 0.500 0.500 Se
0.839 0.839 0.165 Se
0.170 0.170 0.341 S
0.830 0.830 0.659 S


# 7
SmHoBiS | Alexandria | GGA-PBE | optimized geometry; symmetry = R3m (160); M_tot = 0.59 μB/cell; formation energy from raw total energies = -4.880 eV/f.u.
1.0
2.056 1.187 7.515
-2.056 1.187 7.515
0.000 -2.374 7.515
Sm Ho Bi S
1 1 1 1
direct
0.000 0.000 0.000 Sm
0.156 0.156 0.156 Ho
0.575 0.575 0.575 Bi
0.750 0.750 0.750 S


# 8
TbHoBiS | Alexandria | GGA-PBE | optimized geometry; symmetry = R3m (160); M_tot = 0.00 μB/cell; formation energy from raw total energies = -5.260 eV/f.u.
1.0
2.023 1.168 7.332
-2.023 1.168 7.332
0.000 -2.335 7.332
Tb Ho Bi S
1 1 1 1
direct
0.000 0.000 0.000 Tb
0.805 0.805 0.805 Ho
0.235 0.235 0.235 Bi
0.406 0.406 0.406 S


For reference, raw total energy by record: -0.369, -0.396, -0.414, -0.401, -0.434, -0.425, -0.408, -0.413 Ry/atom.